Entry 1:
Here is crystalline DyAg2Pd2 at its relaxed geometry from the Alexandria database. Energies are from PBE.

abc: 9.7281 5.3782 7.7898
angles: 90.00 114.83 90.00
Space group C2/c (No. 15)
Symmetry-distinct sites (fractional):
Dy  0.0000  0.1352  0.2500 (multiplicity 4)
Ag  0.1078  0.3655  0.9509 (multiplicity 8)
Pd  0.1974  0.1672  0.6554 (multiplicity 8)

Its total magnetization is 0.00 μB/cell. The value obtained for the energy of formation from the pure elements is -480 meV per atom. Its density is 10.6 Mg/m³.

Entry 2:
Here is crystalline Er2Ga8Ir at its relaxed geometry from the Alexandria database. Energies are from PBE.

abc: 4.3076 4.3076 11.0907
angles: 90.00 90.00 90.00
Space group P4/mmm (No. 123)
Symmetry-distinct sites (fractional):
Er  0.0000  0.0000  0.1924 (multiplicity 2)
Ga  0.0000  0.5000  0.0000 (multiplicity 2)
Ga  0.0000  0.5000  0.3770 (multiplicity 4)
Ga  0.5000  0.5000  0.1928 (multiplicity 2)
Ir  0.0000  0.0000  0.5000 (multiplicity 1)

Its total magnetization is 0.00 μB/cell. The value obtained for the energy of formation from the pure elements is -530 meV per atom. Its density is 8.8 Mg/m³.

Entry 3:
Here is crystalline Tb3Ag2Os at its relaxed geometry from the Alexandria database. Energies are from PBE.

abc: 5.0155 7.3284 7.8694
angles: 90.00 108.52 90.00
Space group P2/m (No. 10)
Symmetry-distinct sites (fractional):
Tb  0.0000  0.2324  0.0000 (multiplicity 2)
Tb  0.3270  0.2279  0.6543 (multiplicity 4)
Ag  0.1653  0.5000  0.3302 (multiplicity 2)
Ag  0.5000  0.0000  0.0000 (multiplicity 1)
Ag  0.5000  0.5000  0.0000 (multiplicity 1)
Os  0.1642  0.0000  0.3287 (multiplicity 2)

Its total magnetization is 0.00 μB/cell. The value obtained for the energy of formation from the pure elements is -294 meV per atom. Its density is 10.7 Mg/m³.

Entry 4:
Here is crystalline FeNi7Sn2Pt2 at its relaxed geometry from the Alexandria database. Energies are from PBE.

abc: 3.4682 3.4682 27.9404
angles: 90.00 90.00 90.00
Space group I4/mmm (No. 139)
Symmetry-distinct sites (fractional):
Fe  0.0000  0.0000  0.0000 (multiplicity 2)
Ni  0.0000  0.0000  0.2710 (multiplicity 4)
Ni  0.0000  0.0000  0.5000 (multiplicity 2)
Ni  0.0000  0.5000  0.0633 (multiplicity 8)
Sn  0.0000  0.0000  0.1808 (multiplicity 4)
Pt  0.0000  0.0000  0.3671 (multiplicity 4)

Its total magnetization is 11.79 μB/cell. The value obtained for the energy of formation from the pure elements is -73 meV per atom. Its density is 10.8 Mg/m³.

Entry 5:
Here is crystalline Ag2CN at its relaxed geometry from the Alexandria database. Energies are from PBE.

abc: 5.7694 5.7694 5.7694
angles: 90.00 90.00 90.00
Space group Fm-3m (No. 225)
Symmetry-distinct sites (fractional):
Ag  0.2500  0.2500  0.2500 (multiplicity 8)
C  0.0000  0.0000  0.0000 (multiplicity 4)
N  0.0000  0.0000  0.5000 (multiplicity 4)

The value obtained for the electronic total energy is -15.2 eV per formula unit. Its total magnetization is 0.00 μB/cell. Its density is 8.4 Mg/m³.

Entry 6:
Here is crystalline La2MgW at its relaxed geometry from the Alexandria database. Energies are from PBE.

abc: 3.7298 5.3231 10.7141
angles: 90.00 90.00 90.00
Space group Imm2 (No. 44)
Symmetry-distinct sites (fractional):
La  0.0000  0.0000  0.0000 (multiplicity 2)
La  0.0000  0.5000  0.2041 (multiplicity 2)
Mg  0.0000  0.5000  0.7870 (multiplicity 2)
W  0.0000  0.0000  0.4855 (multiplicity 2)

Its total magnetization is 0.00 μB/cell. The value obtained for the energy of formation from the pure elements is 492 meV per atom. Its density is 7.6 Mg/m³.

Entry 7:
Here is crystalline TmVRe4 at its relaxed geometry from the Alexandria database. Energies are from PBE.

abc: 7.4465 7.4465 7.4465
angles: 90.00 90.00 90.00
Space group F-43m (No. 216)
Symmetry-distinct sites (fractional):
Tm  0.0000  0.0000  0.0000 (multiplicity 4)
V  0.2500  0.2500  0.7500 (multiplicity 4)
Re  0.1250  0.1250  0.3750 (multiplicity 16)

Its total magnetization is 5.89 μB/cell. The value obtained for the energy of formation from the pure elements is 37 meV per atom. Its density is 15.5 Mg/m³.

Entry 8:
Here is crystalline V4ReW at its relaxed geometry from the Alexandria database. Energies are from PBE.

abc: 4.1623 4.1623 5.9130
angles: 90.00 90.00 90.00
Space group P4/mmm (No. 123)
Symmetry-distinct sites (fractional):
V  0.0000  0.5000  0.2469 (multiplicity 4)
Re  0.0000  0.0000  0.0000 (multiplicity 1)
W  0.5000  0.5000  0.5000 (multiplicity 1)

Its total magnetization is 0.00 μB/cell. The value obtained for the energy of formation from the pure elements is 674 meV per atom. Its density is 9.3 Mg/m³.

Calculated D(E_F) in order - 0.433; 0.456; 0.569; 0.797; 0.298; 1.133; 1.436; 1.371 states/eV per atom